A geometry-optimized Er3Lu5Te structure, computed with PBE-GGA.

a = 9.049 Å, b = 9.049 Å, c = 3.704 Å
α = 90.00°, β = 90.00°, γ = 120.00°
Fractional positions:
1 Er 0.614 0.000 0.000
2 Er 0.000 0.614 0.000
3 Er 0.386 0.386 0.000
4 Lu 0.667 0.333 0.500
5 Lu 0.277 0.000 0.500
6 Lu 0.723 0.723 0.500
7 Lu 0.000 0.277 0.500
8 Lu 0.333 0.667 0.500
9 Te 0.000 0.000 0.000

Properties
Space-group type: P-62m
Excess energy over the best structure of this formula in the dataset: 4 meV per atom
Calculated total energy: -4.660 eV/atom
Calculated volume: 29.19 Å³ per atom